(1)
A relaxed structure of Ho2PuAl6. Source: the Alexandria database, functional PBE-GGA.

Structure (CIF):
```
data_Ho2PuAl6
_chemical_formula_sum 'Ho2 Pu1 Al6'
_cell_length_a 3.4250
_cell_length_b 7.9331
_cell_length_c 7.9331
_cell_angle_alpha 60.00
_cell_angle_beta 90.00
_cell_angle_gamma 90.00
_space_group_name_H-M_alt 'P 1'
_space_group_IT_number 1
_space_group_name_Hall 'P 1'
loop_
_atom_site_label
_atom_site_type_symbol
_atom_site_fract_x
_atom_site_fract_y
_atom_site_fract_z
Al1 Al 0.5004 0.0000 0.3335
Al2 Al 0.5004 0.3335 0.0000
Al3 Al 0.5000 0.6665 0.3335
Ho1 Ho 0.0000 0.3333 0.3333
Pu1 Pu 0.0000 0.0000 0.0000
Al4 Al 0.5000 0.3335 0.6665
Al5 Al 0.4996 0.6665 0.0000
Al6 Al 0.4996 0.0000 0.6665
Ho2 Ho 0.0000 0.6667 0.6667
```

Calculated values
SG: P6/mmm
Formation enthalpy at 0 K, eV/f.u.: -3.763
Calculated volume, Å³ per cell: 187
D(E_F), states/eV/f.u.: 6.90



(2)
A relaxed structure of Ho2PuAl. Source: the Alexandria database, functional PBE-GGA.

Structure (CIF):
```
data_Ho2PuAl
_chemical_formula_sum 'Ho2 Pu1 Al1'
_cell_length_a 4.5549
_cell_length_b 4.7629
_cell_length_c 4.7629
_cell_angle_alpha 90.00
_cell_angle_beta 90.00
_cell_angle_gamma 90.00
_space_group_name_H-M_alt 'P 1'
_space_group_IT_number 1
_space_group_name_Hall 'P 1'
loop_
_atom_site_label
_atom_site_type_symbol
_atom_site_fract_x
_atom_site_fract_y
_atom_site_fract_z
Pu1 Pu 0.5000 0.0000 0.0000
Ho1 Ho 0.0000 0.0000 0.5000
Al1 Al 0.5000 0.5000 0.5000
Ho2 Ho 0.0000 0.5000 0.0000
```

Calculated values
SG: P4/mmm
Energy above the most stable polymorph in this dataset, meV per atom: 39.2
Formation enthalpy at 0 K, eV/f.u.: -0.305
Calculated volume, Å³ per cell: 103
D(E_F), states/eV/f.u.: 10.42



(3)
A relaxed structure of Ho3PuAl8. Source: the Alexandria database, functional PBE-GGA.

Structure (CIF):
```
data_Ho3PuAl8
_chemical_formula_sum 'Ho3 Pu1 Al8'
_cell_length_a 5.5500
_cell_length_b 5.5500
_cell_length_c 9.0460
_cell_angle_alpha 90.00
_cell_angle_beta 90.00
_cell_angle_gamma 120.00
_space_group_name_H-M_alt 'P 1'
_space_group_IT_number 1
_space_group_name_Hall 'P 1'
loop_
_atom_site_label
_atom_site_type_symbol
_atom_site_fract_x
_atom_site_fract_y
_atom_site_fract_z
Ho1 Ho 0.6667 0.3333 0.0659
Al1 Al 0.5046 0.4954 0.7510
Al2 Al 0.1619 0.8381 0.2490
Ho2 Ho 0.0000 0.0000 0.9246
Pu1 Pu 0.0000 0.0000 0.5687
Al3 Al 0.9907 0.4954 0.7510
Al4 Al 0.1619 0.3238 0.2490
Al5 Al 0.3333 0.6667 0.5010
Al6 Al 0.6762 0.8381 0.2490
Al7 Al 0.5046 0.0093 0.7510
Al8 Al 0.3333 0.6667 0.0027
Ho3 Ho 0.6667 0.3333 0.4372
```

Calculated values
SG: P3m1
Energy above the most stable polymorph in this dataset, meV per atom: 8.2
Formation enthalpy at 0 K, eV/f.u.: -5.351
Calculated volume, Å³ per cell: 241
D(E_F), states/eV/f.u.: 17.10



(4)
A relaxed structure of Ho2PuAl. Source: the Alexandria database, functional PBE-GGA.

Structure (CIF):
```
data_Ho2PuAl
_chemical_formula_sum 'Ho2 Pu1 Al1'
_cell_length_a 3.3450
_cell_length_b 3.3450
_cell_length_c 11.8189
_cell_angle_alpha 81.86
_cell_angle_beta 81.86
_cell_angle_gamma 60.00
_space_group_name_H-M_alt 'P 1'
_space_group_IT_number 1
_space_group_name_Hall 'P 1'
loop_
_atom_site_label
_atom_site_type_symbol
_atom_site_fract_x
_atom_site_fract_y
_atom_site_fract_z
Ho1 Ho 0.0870 0.0870 0.7389
Pu1 Pu 0.5000 0.5000 0.5000
Al1 Al 0.0000 0.0000 0.0000
Ho2 Ho 0.9130 0.9130 0.2611
```

Calculated values
SG: R-3m
Energy above the most stable polymorph in this dataset, meV per atom: 438.7
Formation enthalpy at 0 K, eV/f.u.: 1.293
Calculated volume, Å³ per cell: 113
D(E_F), states/eV/f.u.: 9.38



(5)
A relaxed structure of HoPu3Al8. Source: the Alexandria database, functional PBE-GGA.

Structure (CIF):
```
data_HoPu3Al8
_chemical_formula_sum 'Ho1 Pu3 Al8'
_cell_length_a 5.5317
_cell_length_b 5.5317
_cell_length_c 9.5451
_cell_angle_alpha 73.16
_cell_angle_beta 73.16
_cell_angle_gamma 60.00
_space_group_name_H-M_alt 'P 1'
_space_group_IT_number 1
_space_group_name_Hall 'P 1'
loop_
_atom_site_label
_atom_site_type_symbol
_atom_site_fract_x
_atom_site_fract_y
_atom_site_fract_z
Pu1 Pu 0.4951 0.4951 0.5146
Pu2 Pu 0.0021 0.0021 0.9937
Pu3 Pu 0.3766 0.3766 0.8702
Ho1 Ho 0.8762 0.8762 0.3713
Al1 Al 0.4375 0.4375 0.1889
Al2 Al 0.9360 0.4375 0.1889
Al3 Al 0.9382 0.9382 0.6856
Al4 Al 0.4375 0.9360 0.1889
Al5 Al 0.1871 0.1871 0.4388
Al6 Al 0.4380 0.9382 0.6856
Al7 Al 0.6874 0.6874 0.9379
Al8 Al 0.9382 0.4380 0.6856
```

Calculated values
SG: R3m
Energy above the most stable polymorph in this dataset, meV per atom: 0.0
Formation enthalpy at 0 K, eV/f.u.: -4.511
Calculated volume, Å³ per cell: 238
D(E_F), states/eV/f.u.: 26.53



(6)
A relaxed structure of HoPu3Al8. Source: the Alexandria database, functional PBE-GGA.

Structure (CIF):
```
data_HoPu3Al8
_chemical_formula_sum 'Ho1 Pu3 Al8'
_cell_length_a 5.5718
_cell_length_b 5.5718
_cell_length_c 8.7624
_cell_angle_alpha 90.00
_cell_angle_beta 90.00
_cell_angle_gamma 120.00
_space_group_name_H-M_alt 'P 1'
_space_group_IT_number 1
_space_group_name_Hall 'P 1'
loop_
_atom_site_label
_atom_site_type_symbol
_atom_site_fract_x
_atom_site_fract_y
_atom_site_fract_z
Al1 Al 0.1607 0.8393 0.2499
Al2 Al 0.1607 0.3213 0.2499
Al3 Al 0.5062 0.0125 0.7497
Al4 Al 0.3333 0.6667 0.4972
Pu1 Pu 0.6667 0.3333 0.4051
Al5 Al 0.3333 0.6667 0.9992
Pu2 Pu 0.0000 0.0000 0.9342
Al6 Al 0.6787 0.8393 0.2499
Al7 Al 0.5062 0.4938 0.7497
Pu3 Pu 0.6667 0.3333 0.0923
Al8 Al 0.9875 0.4938 0.7497
Ho1 Ho 0.0000 0.0000 0.5733
```

Calculated values
SG: P3m1
Energy above the most stable polymorph in this dataset, meV per atom: 13.1
Formation enthalpy at 0 K, eV/f.u.: -4.354
Calculated volume, Å³ per cell: 236
D(E_F), states/eV/f.u.: 31.84



(7)
A relaxed structure of HoPuAl4. Source: the Alexandria database, functional PBE-GGA.

Structure (CIF):
```
data_HoPuAl4
_chemical_formula_sum 'Ho1 Pu1 Al4'
_cell_length_a 5.5419
_cell_length_b 5.5419
_cell_length_c 5.5419
_cell_angle_alpha 60.00
_cell_angle_beta 60.00
_cell_angle_gamma 60.00
_space_group_name_H-M_alt 'P 1'
_space_group_IT_number 1
_space_group_name_Hall 'P 1'
loop_
_atom_site_label
_atom_site_type_symbol
_atom_site_fract_x
_atom_site_fract_y
_atom_site_fract_z
Al1 Al 0.6245 0.6245 0.1264
Pu1 Pu 0.2500 0.2500 0.2500
Al2 Al 0.1264 0.6245 0.6245
Al3 Al 0.6245 0.6245 0.6245
Ho1 Ho 0.0000 0.0000 0.0000
Al4 Al 0.6245 0.1264 0.6245
```

Calculated values
SG: F-43m
Formation enthalpy at 0 K, eV/f.u.: -2.348
Calculated volume, Å³ per cell: 120
D(E_F), states/eV/f.u.: 14.73



(8)
A relaxed structure of Ho3PuAl8. Source: the Alexandria database, functional PBE-GGA.

Structure (CIF):
```
data_Ho3PuAl8
_chemical_formula_sum 'Ho3 Pu1 Al8'
_cell_length_a 5.5384
_cell_length_b 5.5384
_cell_length_c 9.6242
_cell_angle_alpha 73.28
_cell_angle_beta 73.28
_cell_angle_gamma 60.00
_space_group_name_H-M_alt 'P 1'
_space_group_IT_number 1
_space_group_name_Hall 'P 1'
loop_
_atom_site_label
_atom_site_type_symbol
_atom_site_fract_x
_atom_site_fract_y
_atom_site_fract_z
Ho1 Ho 0.9980 0.9980 0.0061
Al1 Al 0.9367 0.4376 0.6889
Al2 Al 0.9367 0.9367 0.6889
Al3 Al 0.9389 0.4375 0.1861
Al4 Al 0.4376 0.9367 0.6889
Al5 Al 0.6877 0.6877 0.9370
Pu1 Pu 0.8749 0.8749 0.3754
Al6 Al 0.1877 0.1877 0.4370
Ho2 Ho 0.3752 0.3752 0.8743
Al7 Al 0.4375 0.4375 0.1861
Ho3 Ho 0.5016 0.5016 0.4954
Al8 Al 0.4375 0.9389 0.1861
```

Calculated values
SG: R3m
Energy above the most stable polymorph in this dataset, meV per atom: 0.0
Formation enthalpy at 0 K, eV/f.u.: -5.449
Calculated volume, Å³ per cell: 241
D(E_F), states/eV/f.u.: 18.93



(9)
A relaxed structure of Ho2PuAl9. Source: the Alexandria database, functional PBE-GGA.

Structure (CIF):
```
data_Ho2PuAl9
_chemical_formula_sum 'Ho2 Pu1 Al9'
_cell_length_a 5.5237
_cell_length_b 5.5237
_cell_length_c 9.3591
_cell_angle_alpha 72.84
_cell_angle_beta 72.84
_cell_angle_gamma 60.00
_space_group_name_H-M_alt 'P 1'
_space_group_IT_number 1
_space_group_name_Hall 'P 1'
loop_
_atom_site_label
_atom_site_type_symbol
_atom_site_fract_x
_atom_site_fract_y
_atom_site_fract_z
Al1 Al 0.0776 0.5864 0.7495
Pu1 Pu 0.0000 0.0000 0.0000
Al2 Al 0.5000 0.5000 0.5000
Ho1 Ho 0.8594 0.8594 0.4219
Al3 Al 0.5864 0.0776 0.7495
Al4 Al 0.4136 0.4136 0.2505
Al5 Al 0.3348 0.3348 0.9957
Al6 Al 0.9224 0.4136 0.2505
Al7 Al 0.4136 0.9224 0.2505
Al8 Al 0.5864 0.5864 0.7495
Ho2 Ho 0.1406 0.1406 0.5781
Al9 Al 0.6652 0.6652 0.0043
```

Calculated values
SG: R-3m
Formation enthalpy at 0 K, eV/f.u.: -4.190
Calculated volume, Å³ per cell: 232
D(E_F), states/eV/f.u.: 12.85



(10)
A relaxed structure of HoPuAlTc. Source: the Alexandria database, functional PBE-GGA.

Structure (CIF):
```
data_HoPuAlTc
_chemical_formula_sum 'Ho1 Pu1 Al1 Tc1'
_cell_length_a 4.9217
_cell_length_b 4.9217
_cell_length_c 4.9217
_cell_angle_alpha 60.00
_cell_angle_beta 60.00
_cell_angle_gamma 60.00
_space_group_name_H-M_alt 'P 1'
_space_group_IT_number 1
_space_group_name_Hall 'P 1'
loop_
_atom_site_label
_atom_site_type_symbol
_atom_site_fract_x
_atom_site_fract_y
_atom_site_fract_z
Al1 Al 0.7500 0.7500 0.7500
Tc1 Tc 0.2500 0.2500 0.2500
Pu1 Pu 0.0000 0.0000 0.0000
Ho1 Ho 0.5000 0.5000 0.5000
```

Calculated values
SG: F-43m
Formation enthalpy at 0 K, eV/f.u.: -0.130
Calculated volume, Å³ per cell: 84
D(E_F), states/eV/f.u.: 9.27



(11)
A relaxed structure of HoTmPuAl. Source: the Alexandria database, functional PBE-GGA.

Structure (CIF):
```
data_HoTmPuAl
_chemical_formula_sum 'Ho1 Tm1 Pu1 Al1'
_cell_length_a 5.2651
_cell_length_b 5.2651
_cell_length_c 5.2651
_cell_angle_alpha 60.00
_cell_angle_beta 60.00
_cell_angle_gamma 60.00
_space_group_name_H-M_alt 'P 1'
_space_group_IT_number 1
_space_group_name_Hall 'P 1'
loop_
_atom_site_label
_atom_site_type_symbol
_atom_site_fract_x
_atom_site_fract_y
_atom_site_fract_z
Al1 Al 0.5000 0.5000 0.5000
Pu1 Pu 0.2500 0.2500 0.2500
Tm1 Tm 0.0000 0.0000 0.0000
Ho1 Ho 0.7500 0.7500 0.7500
```

Calculated values
SG: F-43m
Formation enthalpy at 0 K, eV/f.u.: 0.033
Calculated volume, Å³ per cell: 103
D(E_F), states/eV/f.u.: 7.62



(12)
A relaxed structure of Rb3Ho3AlS8. Source: the Alexandria database, functional PBE-GGA.

Structure (CIF):
```
data_Rb3Ho3AlS8
_chemical_formula_sum 'Rb3 Ho3 Al1 S8'
_cell_length_a 7.8376
_cell_length_b 7.8423
_cell_length_c 9.0833
_cell_angle_alpha 115.62
_cell_angle_beta 90.00
_cell_angle_gamma 119.98
_space_group_name_H-M_alt 'P 1'
_space_group_IT_number 1
_space_group_name_Hall 'P 1'
loop_
_atom_site_label
_atom_site_type_symbol
_atom_site_fract_x
_atom_site_fract_y
_atom_site_fract_z
Ho1 Ho 0.5000 0.0000 0.5000
S1 S 0.2478 0.0349 0.3221
S2 S 0.2128 0.9651 0.6779
Rb1 Rb 0.0000 0.0000 0.0000
Rb2 Rb 0.5000 0.5000 0.0000
Rb3 Rb 0.0000 0.5000 0.0000
S3 S 0.7307 0.4615 0.6921
Al1 Al 0.0000 0.0000 0.5000
Ho2 Ho 0.5000 0.5000 0.5000
Ho3 Ho 0.0000 0.5000 0.5000
S4 S 0.2129 0.4258 0.6779
S5 S 0.7871 0.5742 0.3221
S6 S 0.2693 0.5385 0.3079
S7 S 0.7522 0.9651 0.6779
S8 S 0.7872 0.0349 0.3221
```

Calculated values
SG: C2/m
Formation energy without anion corrections, eV/atom: -1.561
Calculated volume, Å³ per cell: 419
D(E_F), states/eV/f.u.: 12.20